Entry 1:
A plane-wave DFT calculation with PBE-GGA was carried out for crystalline La3ZrRe at its relaxed geometry.

```
data_La3ZrRe
_chemical_formula_sum 'La3 Zr1 Re1'
_symmetry_space_group_name_H-M 'P m -3 m'
_symmetry_Int_Tables_number 221
_symmetry_space_group_name_Hall '-P 4 2 3'
_cell_length_a 5.542
_cell_length_b 5.542
_cell_length_c 5.542
_cell_angle_alpha 90.00
_cell_angle_beta 90.00
_cell_angle_gamma 90.00
loop_
_atom_site_label
_atom_site_type_symbol
_atom_site_fract_x
_atom_site_fract_y
_atom_site_fract_z
_atom_site_occupancy
La1 La 0.000 0.000 0.500 1
Zr1 Zr 0.500 0.500 0.500 1
Re1 Re 0.000 0.000 0.000 1
```

Summary:
The calculation puts the density of states at the Fermi level at 1.88 states/eV per atom. The density is 6.77 g/cm³. The energy above the lowest structure with this stoichiometry comes out at 0 meV/atom. The energy of formation is 2.774 eV/f.u.

Entry 2:
A plane-wave DFT calculation with PBE-GGA was carried out for crystalline PmY5Mg at its relaxed geometry.

```
data_PmY5Mg
_chemical_formula_sum 'Pm4 Y20 Mg4'
_symmetry_space_group_name_H-M 'C 1 2/c 1'
_symmetry_Int_Tables_number 15
_cell_length_a 8.829
_cell_length_b 8.222
_cell_length_c 12.506
_cell_angle_alpha 90.00
_cell_angle_beta 99.73
_cell_angle_gamma 90.00
loop_
_symmetry_equiv_pos_as_xyz
'x,y,z'
'-x,-y,-z'
'-x,y,-z+1/2'
'x,-y,z+1/2'
'x+1/2,y+1/2,z'
'-x+1/2,-y+1/2,-z'
'-x+1/2,y+1/2,-z+1/2'
'x+1/2,-y+1/2,z+1/2'
loop_
_atom_site_label
_atom_site_type_symbol
_atom_site_fract_x
_atom_site_fract_y
_atom_site_fract_z
_atom_site_occupancy
Pm1 Pm 0.000 0.153 0.250 1
Y1 Y 0.000 0.461 0.750 1
Y2 Y 0.160 0.129 0.580 1
Y3 Y 0.214 0.163 0.866 1
Mg1 Mg 0.000 0.500 0.000 1
```

Summary:
The calculation puts the density of states at the Fermi level at 1.36 states/eV per atom. The density is 4.56 g/cm³. The energy of formation is 0.792 eV/f.u.